Compound: ZrSc9Al2
Source: the Alexandria database
Functional: PBE
Structure: relaxed

The calculation puts the formation energy at -0.16 eV per atom.

The space group is P4/mmm (No. 123) and the conventional cell measures 4.454, 4.454 and 13.538 Å, with angles of 90.00, 90.00 and 90.00 degrees. The asymmetric unit holds Zr at (0.000, 0.000, 0.000), Sc at (0.000, 0.500, 0.171), Sc at (0.000, 0.500, 0.500), Sc at (0.500, 0.500, 0.000), Sc at (0.500, 0.500, 0.339) and Al at (0.000, 0.000, 0.337).